Record 1
## Li3Zr2NpS6 (PBE-GGA)

Data for a relaxed Li3Zr2NpS6 crystal.

Cell: 6.441 6.441 6.596 Å, 99.36 99.36 119.94°
Each line ends with the local moment (μB).
Atoms (fractional coordinates):
Li (0.833, 0.167, 0.500)  0.00
Li (0.500, 0.500, 0.500)  0.00
Li (0.167, 0.833, 0.500)  0.00
S (0.740, 0.740, 0.254)  -0.02
S (0.571, 0.916, 0.748)  -0.02
S (0.429, 0.084, 0.252)  -0.02
S (0.916, 0.571, 0.748)  -0.02
S (0.260, 0.260, 0.746)  -0.02
S (0.084, 0.429, 0.252)  -0.02
Np (0.000, 0.000, 0.000)  3.73
Zr (0.666, 0.334, 0.000)  0.25
Zr (0.334, 0.666, 0.000)  0.25

Energy relative to the elements, uncorrected in eV/f.u.: -17.51
Total magnetization in Bohr magnetons per cell: 4.599

=====

Record 2
## LiZr2NpS4 (PBE-GGA)

Data for a relaxed LiZr2NpS4 crystal.

Cell: 3.724 6.456 6.552 Å, 108.82 90.00 90.00°
Each line ends with the local moment (μB).
Atoms (fractional coordinates):
Zr (0.000, 0.500, 0.500)  -0.05
Zr (0.500, 0.000, 0.500)  0.02
Np (0.000, 0.000, 0.000)  3.74
S (0.000, 0.742, 0.252)  -0.02
S (0.500, 0.739, 0.746)  -0.04
S (0.000, 0.258, 0.748)  -0.02
S (0.500, 0.261, 0.254)  -0.04
Li (0.500, 0.500, 0.000)  0.00

Energy relative to the elements, uncorrected in eV/f.u.: -11.78
Total magnetization in Bohr magnetons per cell: 3.897

=====

Record 3
## LiZrNp2S5 (PBE-GGA)

Data for a relaxed LiZrNp2S5 crystal.

Cell: 3.796 8.249 11.547 Å, 90.00 90.00 103.30°
Each line ends with the local moment (μB).
Atoms (fractional coordinates):
S (0.718, 0.437, 0.167)  -0.05
S (0.688, 0.377, 0.854)  -0.04
S (0.635, 0.269, 0.499)  -0.07
S (0.312, 0.623, 0.354)  -0.04
S (0.055, 0.109, 0.069)  -0.03
S (0.945, 0.891, 0.569)  -0.03
S (0.495, 0.990, 0.774)  -0.10
S (0.505, 0.010, 0.274)  -0.10
S (0.365, 0.731, 0.999)  -0.07
S (0.282, 0.563, 0.667)  -0.05
Np (0.130, 0.260, 0.304)  3.92
Np (0.105, 0.211, 0.683)  3.95
Np (0.895, 0.789, 0.183)  3.95
Np (0.870, 0.740, 0.804)  3.92
Li (0.459, 0.917, 0.462)  0.00
Li (0.541, 0.083, 0.962)  0.00
Zr (0.797, 0.594, 0.511)  0.13
Zr (0.203, 0.406, 0.011)  0.13

Energy relative to the elements, uncorrected in eV/f.u.: -12.66
Total magnetization in Bohr magnetons per cell: 16.679

=====

Record 4
## Li2ZrNpS4 (PBE-GGA)

Data for a relaxed Li2ZrNpS4 crystal.

Cell: 3.756 6.533 6.597 Å, 109.16 90.00 90.00°
Each line ends with the local moment (μB).
Atoms (fractional coordinates):
Li (0.500, 0.000, 0.500)  0.00
Li (0.000, 0.500, 0.500)  0.00
Np (0.000, 0.000, 0.000)  3.82
Zr (0.500, 0.500, 0.000)  0.36
S (0.000, 0.740, 0.250)  -0.02
S (0.500, 0.264, 0.255)  -0.06
S (0.000, 0.260, 0.750)  -0.02
S (0.500, 0.736, 0.745)  -0.06

Energy relative to the elements, uncorrected in eV/f.u.: -11.48
Total magnetization in Bohr magnetons per cell: 4.540

=====

Record 5
## Li4ZrNp3S8 (PBE-GGA)

Data for a relaxed Li4ZrNp3S8 crystal.

Cell: 7.695 7.615 7.696 Å, 120.31 120.00 90.00°
Each line ends with the local moment (μB).
Atoms (fractional coordinates):
Np (0.500, 0.500, 0.000)  3.88
Np (0.500, 0.500, 0.500)  3.88
Np (0.000, 0.500, 0.500)  3.88
Zr (0.000, 0.500, 0.000)  0.54
Li (0.000, 0.000, 0.000)  0.00
Li (0.500, 0.000, 0.000)  0.00
Li (0.500, 0.000, 0.500)  0.00
Li (0.000, 0.000, 0.500)  0.00
S (0.755, 0.249, 0.993)  -0.06
S (0.755, 0.249, 0.511)  -0.06
S (0.238, 0.249, 0.993)  -0.06
S (0.762, 0.751, 0.007)  -0.06
S (0.248, 0.243, 0.496)  -0.08
S (0.245, 0.751, 0.489)  -0.06
S (0.752, 0.757, 0.504)  -0.08
S (0.245, 0.751, 0.007)  -0.06

Energy relative to the elements, uncorrected in eV/f.u.: -22.41
Total magnetization in Bohr magnetons per cell: 12.993

=====

Record 6
## Li3ZrNp3S8 (PBE-GGA)

Data for a relaxed Li3ZrNp3S8 crystal.

Cell: 7.769 7.769 7.610 Å, 120.70 90.00 120.00°
Each line ends with the local moment (μB).
Atoms (fractional coordinates):
Zr (0.000, 0.000, 0.500)  0.30
S (0.763, 0.003, 0.743)  -0.06
S (0.237, 0.997, 0.257)  -0.06
S (0.760, 0.519, 0.257)  -0.06
S (0.760, 0.997, 0.257)  -0.06
S (0.240, 0.003, 0.743)  -0.06
S (0.751, 0.502, 0.754)  -0.09
S (0.240, 0.481, 0.743)  -0.06
S (0.249, 0.498, 0.246)  -0.09
Li (0.000, 0.000, 0.000)  0.00
Li (0.500, 0.500, 0.000)  0.00
Li (0.000, 0.500, 0.000)  0.00
Np (0.500, 0.000, 0.500)  3.78
Np (0.500, 0.500, 0.500)  3.78
Np (0.000, 0.500, 0.500)  3.78

Energy relative to the elements, uncorrected in eV/f.u.: -21.14
Total magnetization in Bohr magnetons per cell: 12.003

=====

Record 7
## Li3Zr3NpS8 (PBE-GGA)

Data for a relaxed Li3Zr3NpS8 crystal.

Cell: 7.384 7.384 7.563 Å, 119.23 90.00 120.00°
Each line ends with the local moment (μB).
Atoms (fractional coordinates):
S (0.745, 0.007, 0.252)  -0.04
S (0.255, 0.993, 0.748)  -0.04
S (0.261, 0.007, 0.252)  -0.04
S (0.255, 0.509, 0.748)  -0.04
S (0.745, 0.491, 0.252)  -0.04
S (0.750, 0.499, 0.749)  0.01
S (0.739, 0.993, 0.748)  -0.04
S (0.250, 0.501, 0.251)  0.01
Li (0.000, 0.000, 0.000)  0.00
Li (0.500, 0.500, 0.000)  0.00
Li (0.000, 0.500, 0.000)  0.00
Np (0.000, 0.000, 0.500)  3.54
Zr (0.500, 0.000, 0.500)  0.10
Zr (0.000, 0.500, 0.500)  0.10
Zr (0.500, 0.500, 0.500)  0.10

Energy relative to the elements, uncorrected in eV/f.u.: -22.10
Total magnetization in Bohr magnetons per cell: 4.005

=====

Record 8
## LiNpSb2 (PBE-GGA)

Data for a relaxed LiNpSb2 crystal.

Cell: 4.296 4.296 10.541 Å, 90.00 90.00 90.00°
Each line ends with the local moment (μB).
Atoms (fractional coordinates):
Sb (0.500, 0.500, 0.500)  -0.06
Sb (0.500, 0.000, 0.173)  -0.10
Sb (0.000, 0.500, 0.827)  -0.10
Sb (0.000, 0.000, 0.500)  -0.06
Np (0.000, 0.500, 0.269)  3.80
Np (0.500, 0.000, 0.731)  3.80
Li (0.500, 0.500, 0.000)  -0.01
Li (0.000, 0.000, 0.000)  -0.01

Energy relative to the elements, uncorrected in eV/f.u.: -1.52
Total magnetization in Bohr magnetons per cell: 7.453